(1)
DFT (PBEsol) results for a relaxed structure of BeTcRu2.

It has space group C2/m (No. 12), with a = 8.501 Å, b = 2.661 Å, c = 4.516 Å, α = 90.00°, β = 99.66° and γ = 90.00°. The distinct sites, in fractional coordinates, are Be at (0.000, 0.000, 0.000), Tc at (0.000, 0.500, 0.500) and Ru at (0.248, 0.500, 0.239).

The calculation puts the theoretical density at 10.195 g/cm3. For the electronic total energy, the calculation gives -70.30 eV per cell. The total magnetic moment comes out at 0.00 μB per atom.

(2)
DFT (PBEsol) results for a relaxed structure of BeTcRu.

It has space group Fmm2 (No. 42), with a = 2.861 Å, b = 4.348 Å, c = 11.837 Å, α = 90.00°, β = 90.00° and γ = 90.00°. The distinct sites, in fractional coordinates, are Be at (0.000, 0.000, 0.000), Tc at (0.000, 0.000, 0.338) and Ru at (0.000, 0.000, 0.654).

The calculation puts the theoretical density at 9.387 g/cm3. For the electronic total energy, the calculation gives -99.00 eV per cell. The total magnetic moment comes out at 0.00 μB per atom.

(3)
DFT (PBEsol) results for a relaxed structure of Be4TcRu.

It has space group F-43m (No. 216), with a = 6.091 Å, b = 6.091 Å, c = 6.091 Å, α = 90.00°, β = 90.00° and γ = 90.00°. The distinct sites, in fractional coordinates, are Be at (0.124, 0.124, 0.124), Tc at (0.250, 0.250, 0.750) and Ru at (0.000, 0.000, 0.500).

The calculation puts the theoretical density at 6.910 g/cm3. For the electronic total energy, the calculation gives -157.84 eV per cell. The total magnetic moment comes out at 0.00 μB per atom.

(4)
DFT (PBEsol) results for a relaxed structure of BeTcRu2.

It has space group P4/mmm (No. 123), with a = 2.785 Å, b = 2.785 Å, c = 6.202 Å, α = 90.00°, β = 90.00° and γ = 90.00°. The distinct sites, in fractional coordinates, are Be at (0.000, 0.000, 0.000), Tc at (0.000, 0.000, 0.500) and Ru at (0.500, 0.500, 0.220).

The calculation puts the theoretical density at 10.670 g/cm3. For the electronic total energy, the calculation gives -36.13 eV per cell. The total magnetic moment comes out at 0.00 μB per atom.

(5)
DFT (PBEsol) results for a relaxed structure of Be2TcRu.

It has space group Amm2 (No. 38), with a = 3.619 Å, b = 2.756 Å, c = 8.492 Å, α = 90.00°, β = 90.00° and γ = 90.00°. The distinct sites, in fractional coordinates, are Be at (0.000, 0.000, 0.000), Be at (0.500, 0.000, 0.136), Tc at (0.500, 0.000, 0.408) and Ru at (0.000, 0.000, 0.724).

The calculation puts the theoretical density at 8.511 g/cm3. For the electronic total energy, the calculation gives -60.24 eV per cell. The total magnetic moment comes out at 0.00 μB per atom.

(6)
DFT (PBEsol) results for a relaxed structure of Be2TcRu.

It has space group P4/mmm (No. 123), with a = 2.752 Å, b = 2.752 Å, c = 5.642 Å, α = 90.00°, β = 90.00° and γ = 90.00°. The distinct sites, in fractional coordinates, are Be at (0.000, 0.000, 0.232), Tc at (0.500, 0.500, 0.500) and Ru at (0.500, 0.500, 0.000).

The calculation puts the theoretical density at 8.437 g/cm3. For the electronic total energy, the calculation gives -29.65 eV per cell. The total magnetic moment comes out at 0.00 μB per atom.

(7)
DFT (PBEsol) results for a relaxed structure of BeTe2Ru.

It has space group Amm2 (No. 38), with a = 4.439 Å, b = 4.825 Å, c = 7.281 Å, α = 90.00°, β = 90.00° and γ = 90.00°. The distinct sites, in fractional coordinates, are Be at (0.000, 0.000, 0.000), Te at (0.000, 0.000, 0.652), Te at (0.500, 0.000, 0.213) and Ru at (0.500, 0.000, 0.856).

The formation energy from raw total energies is 87 meV per atom. The calculation puts the theoretical density at 7.779 g/cm3. For the electronic total energy, the calculation gives -41.76 eV per cell. The total magnetic moment comes out at 0.00 μB per atom.

(8)
DFT (PBEsol) results for a relaxed structure of BeTeRu3.

It has space group Pm-3m (No. 221), with a = 4.122 Å, b = 4.122 Å, c = 4.122 Å, α = 90.00°, β = 90.00° and γ = 90.00°. The distinct sites, in fractional coordinates, are Be at (0.000, 0.000, 0.000), Te at (0.500, 0.500, 0.500) and Ru at (0.000, 0.000, 0.500).

The formation energy from raw total energies is 503 meV per atom. The calculation puts the theoretical density at 10.431 g/cm3. For the electronic total energy, the calculation gives -35.53 eV per cell. The total magnetic moment comes out at 0.00 μB per atom.

(9)
DFT (PBEsol) results for a relaxed structure of BeTe2Ru.

It has space group R-3m (No. 166, hexagonal axes), with a = 3.3311 Å, b = 3.3311 Å, c = 24.6568 Å, α = 90.00°, β = 90.00° and γ = 120.00°. The distinct sites, in fractional coordinates, are Be at (0.0000, 0.0000, 0.0000), Te at (0.0000, 0.0000, 0.3987) and Ru at (0.0000, 0.0000, 0.5000).

The formation energy from raw total energies is 639 meV per atom. The calculation puts the theoretical density at 7.680 g/cm3. For the electronic total energy, the calculation gives -56.01 eV per cell. The total magnetic moment comes out at 0.00 μB per atom.

(10)
DFT (PBEsol) results for a relaxed structure of BeTeRu3.

It has space group Pm-3m (No. 221), with a = 4.698 Å, b = 4.698 Å, c = 4.698 Å, α = 90.00°, β = 90.00° and γ = 90.00°. The distinct sites, in fractional coordinates, are Be at (0.000, 0.000, 0.000), Te at (0.500, 0.500, 0.500) and Ru at (0.000, 0.500, 0.500).

The formation energy from raw total energies is 1960 meV per atom. The calculation puts the theoretical density at 7.042 g/cm3. For the electronic total energy, the calculation gives -28.24 eV per cell. The total magnetic moment comes out at 0.33 μB per atom.

(11)
DFT (PBEsol) results for a relaxed structure of BeTeRu4.

It has space group F-43m (No. 216), with a = 7.176 Å, b = 7.176 Å, c = 7.176 Å, α = 90.00°, β = 90.00° and γ = 90.00°. The distinct sites, in fractional coordinates, are Be at (0.000, 0.000, 0.000), Te at (0.250, 0.250, 0.750) and Ru at (0.125, 0.125, 0.375).

The formation energy from raw total energies is 766 meV per atom. The calculation puts the theoretical density at 9.720 g/cm3. For the electronic total energy, the calculation gives -174.49 eV per cell. The total magnetic moment comes out at 0.00 μB per atom.

(12)
DFT (PBEsol) results for a relaxed structure of Ti2Be2Ru.

It has space group P4/mbm (No. 127), with a = 6.184 Å, b = 6.184 Å, c = 3.173 Å, α = 90.00°, β = 90.00° and γ = 90.00°. The distinct sites, in fractional coordinates, are Ti at (0.179, 0.321, 0.000), Be at (0.119, 0.619, 0.500) and Ru at (0.000, 0.000, 0.500).

The calculation puts the theoretical density at 5.878 g/cm3. For the electronic total energy, the calculation gives -72.89 eV per cell. The total magnetic moment comes out at 0.00 μB per atom.